Entry from Alexandria: CoTe2W after structural relaxation (PBE).

Summary:
Energy relative to the lowest polymorph listed for this composition in meV per atom: 0
Formation energy (no corrections) in eV/atom: 0.084

Structure (POSCAR):
```
CoTe2W
1.0
3.358 -1.940 0.000
3.358 1.940 0.000
-2.249 0.000 6.939
Co Te W
1 2 1
direct
0.000 0.000 0.000
0.541 0.541 0.624
0.726 0.726 0.176
0.292 0.292 0.876
```


Entry from Alexandria: CoTe2W after structural relaxation (PBE).

Summary:
Energy relative to the lowest polymorph listed for this composition in meV per atom: 941
Formation energy (no corrections) in eV/atom: 1.025

Structure (POSCAR):
```
CoTe2W
1.0
3.346 0.000 0.000
0.000 4.268 0.000
0.000 0.000 5.420
Co Te W
1 2 1
direct
0.000 0.000 0.000
0.000 0.500 0.500
0.500 0.500 0.000
0.500 0.000 0.500
```


Entry from Alexandria: CoTe2W after structural relaxation (PBE).

Summary:
Energy relative to the lowest polymorph listed for this composition in meV per atom: 595
Formation energy (no corrections) in eV/atom: 0.679

Structure (POSCAR):
```
CoTe2W
1.0
-2.994 2.994 5.798
2.994 -2.994 5.798
2.994 2.994 -5.798
Co Te W
2 4 2
direct
0.000 0.000 0.000
0.750 0.250 0.500
0.102 0.625 0.977
0.375 0.352 0.477
0.648 0.125 0.023
0.875 0.898 0.523
0.250 0.750 0.500
0.500 0.500 0.000
```


Entry from Alexandria: CoTe2W after structural relaxation (PBE).

Summary:
Energy relative to the lowest polymorph listed for this composition in meV per atom: 244
Formation energy (no corrections) in eV/atom: 0.327

Structure (POSCAR):
```
CoTe2W
1.0
-1.776 1.803 7.493
1.776 -1.803 7.493
1.776 1.803 -7.493
Co Te W
1 2 1
direct
0.000 0.000 0.000
0.296 0.796 0.500
0.539 0.539 0.000
0.892 0.392 0.500
```